{
  "formula": "OsRu2Br",
  "functional": "GGA-PBEsol",
  "state": "optimized geometry",
  "relative_energy_mev_per_atom": 425,
  "magnetic_moment_mub_per_fu": 0.000,
  "dos_at_fermi_per_ev_cell": 5.79,
  "dft_energy_ev_per_cell": -29.53,
  "crystal_system": "cubic",
  "raw_formation_energy_ev_per_atom": 1.225,
  "spacegroup": "F-43m",
  "lattice_angstrom": [[-2.226, 3.366, 1.659], [0.253, 0.894, 4.263], [2.122, 3.561, 1.360]],
  "species": ["Br", "Os", "Ru", "Ru"],
  "frac_coords": [[0.500, 0.500, 0.500], [0.250, 0.250, 0.250], [0.000, 0.000, 0.000], [0.750, 0.750, 0.750]]
}

{
  "formula": "SrAsSe2N",
  "functional": "GGA-PBEsol",
  "state": "optimized geometry",
  "magnetic_moment_mub_per_fu": 2.403,
  "dos_at_fermi_per_ev_cell": 4.74,
  "dft_energy_ev_per_cell": -17.60,
  "crystal_system": "tetragonal",
  "raw_formation_energy_ev_per_atom": 1.115,
  "spacegroup": "P4/mmm",
  "lattice_angstrom": [[-4.322, -1.410, 0.545], [-0.538, -0.519, -5.611], [1.789, -5.360, 0.324]],
  "species": ["Sr", "As", "Se", "Se", "N"],
  "frac_coords": [[0.000, 0.000, 0.000], [0.500, 0.500, 0.500], [0.000, 0.000, 0.500], [0.000, 0.500, 0.000], [0.500, 0.000, 0.000]]
}

{
  "formula": "Li2Tl",
  "functional": "GGA-PBEsol",
  "state": "optimized geometry",
  "magnetic_moment_mub_per_fu": 0.000,
  "dos_at_fermi_per_ev_cell": 1.09,
  "formation_enthalpy_0k_mev_per_atom": -242,
  "dft_energy_ev_per_cell": -7.29,
  "crystal_system": "hexagonal",
  "spacegroup": "P6/mmm",
  "lattice_angstrom": [[-1.826, -2.105, 1.028], [2.067, -3.125, -2.726], [1.576, 0.731, 4.295]],
  "species": ["Tl", "Li", "Li"],
  "frac_coords": [[0.000, 0.000, 0.000], [0.500, 0.667, 0.333], [0.500, 0.333, 0.667]]
}

{
  "formula": "CaCoAs3",
  "functional": "GGA-PBEsol",
  "state": "optimized geometry",
  "magnetic_moment_mub_per_fu": 0.903,
  "dos_at_fermi_per_ev_cell": 5.13,
  "formation_enthalpy_0k_mev_per_atom": -135,
  "dft_energy_ev_per_cell": -25.86,
  "crystal_system": "cubic",
  "spacegroup": "Pm-3m",
  "lattice_angstrom": [[-1.505, 4.284, 0.944], [-4.327, -1.286, -1.063], [-0.720, -1.226, 4.414]],
  "species": ["As", "As", "As", "Co", "Ca"],
  "frac_coords": [[0.000, 0.500, 0.000], [0.000, 0.000, 0.500], [0.500, 0.000, 0.000], [0.000, 0.000, 0.000], [0.500, 0.500, 0.500]]
}

{
  "formula": "TcGeOF2",
  "functional": "GGA-PBEsol",
  "state": "optimized geometry",
  "magnetic_moment_mub_per_fu": 0.002,
  "dos_at_fermi_per_ev_cell": 4.06,
  "dft_energy_ev_per_cell": -29.79,
  "crystal_system": "tetragonal",
  "raw_formation_energy_ev_per_atom": -0.896,
  "spacegroup": "P4/mmm",
  "lattice_angstrom": [[3.708, 0.000, 0.000], [0.000, 4.228, 0.000], [0.000, 0.000, 4.228]],
  "species": ["Ge", "Tc", "O", "F", "F"],
  "frac_coords": [[0.500, 0.500, 0.500], [0.000, 0.000, 0.000], [0.500, 0.000, 0.000], [0.000, 0.000, 0.500], [0.000, 0.500, 0.000]]
}

{
  "formula": "SiB2Br",
  "functional": "GGA-PBEsol",
  "state": "optimized geometry",
  "magnetic_moment_mub_per_fu": 0.000,
  "dos_at_fermi_per_ev_cell": 4.06,
  "dft_energy_ev_per_cell": -36.80,
  "crystal_system": "tetragonal",
  "raw_formation_energy_ev_per_atom": 0.813,
  "spacegroup": "I-42d",
  "lattice_angstrom": [[4.999, 0.000, 0.000], [0.000, 4.999, 0.000], [-2.500, -2.500, 4.935]],
  "species": ["Si", "Si", "B", "B", "B", "B", "Br", "Br"],
  "frac_coords": [[0.750, 0.250, 0.500], [0.500, 0.500, 0.000], [0.811, 0.375, 0.250], [0.439, 0.875, 0.250], [0.625, 0.561, 0.750], [0.125, 0.189, 0.750], [0.250, 0.750, 0.500], [0.000, 0.000, 0.000]]
}

{
  "formula": "HfPd2Se",
  "functional": "GGA-PBEsol",
  "state": "optimized geometry",
  "magnetic_moment_mub_per_fu": 0.000,
  "dos_at_fermi_per_ev_cell": 1.61,
  "dft_energy_ev_per_cell": -52.64,
  "crystal_system": "tetragonal",
  "raw_formation_energy_ev_per_atom": -0.012,
  "spacegroup": "I-42d",
  "lattice_angstrom": [[-5.453, 1.243, 0.153], [-0.718, -2.542, -4.932], [1.991, -4.493, 5.199]],
  "species": ["Hf", "Hf", "Se", "Se", "Pd", "Pd", "Pd", "Pd"],
  "frac_coords": [[0.250, 0.750, 0.500], [0.000, 0.000, 0.000], [0.750, 0.250, 0.500], [0.500, 0.500, 0.000], [0.394, 0.875, 0.250], [0.856, 0.375, 0.250], [0.125, 0.144, 0.750], [0.625, 0.606, 0.750]]
}

{
  "formula": "Na2BeHg",
  "functional": "GGA-PBEsol",
  "state": "optimized geometry",
  "magnetic_moment_mub_per_fu": 0.001,
  "dos_at_fermi_per_ev_cell": 1.81,
  "formation_enthalpy_0k_mev_per_atom": 389,
  "dft_energy_ev_per_cell": -5.81,
  "crystal_system": "cubic",
  "spacegroup": "Fm-3m",
  "lattice_angstrom": [[-3.665, 2.141, 2.570], [-2.573, -2.641, 3.321], [0.561, 0.889, 4.849]],
  "species": ["Na", "Na", "Hg", "Be"],
  "frac_coords": [[0.250, 0.250, 0.250], [0.750, 0.750, 0.750], [0.500, 0.500, 0.500], [0.000, 0.000, 0.000]]
}

{
  "formula": "FeOs2Br",
  "functional": "GGA-PBEsol",
  "state": "optimized geometry",
  "relative_energy_mev_per_atom": 448,
  "magnetic_moment_mub_per_fu": 2.304,
  "dos_at_fermi_per_ev_cell": 5.25,
  "dft_energy_ev_per_cell": -30.15,
  "crystal_system": "cubic",
  "raw_formation_energy_ev_per_atom": 1.279,
  "spacegroup": "Fm-3m",
  "lattice_angstrom": [[-4.182, 0.821, 0.541], [1.679, -3.666, 1.490], [0.429, -0.601, 4.232]],
  "species": ["Br", "Fe", "Os", "Os"],
  "frac_coords": [[0.500, 0.000, 0.500], [0.000, 0.000, 0.000], [0.250, 0.500, 0.250], [0.750, 0.500, 0.750]]
}

{
  "formula": "BaBe2Ag2",
  "functional": "GGA-PBEsol",
  "state": "optimized geometry",
  "magnetic_moment_mub_per_fu": 0.000,
  "dos_at_fermi_per_ev_cell": 2.28,
  "formation_enthalpy_0k_mev_per_atom": 186,
  "dft_energy_ev_per_cell": -15.84,
  "crystal_system": "tetragonal",
  "spacegroup": "I4/mmm",
  "lattice_angstrom": [[4.456, 0.000, 0.000], [0.000, 4.456, 0.000], [-2.228, -2.228, 4.950]],
  "species": ["Be", "Be", "Ba", "Ag", "Ag"],
  "frac_coords": [[0.359, 0.359, 0.718], [0.641, 0.641, 0.282], [0.000, 0.000, 0.000], [0.250, 0.750, 0.500], [0.750, 0.250, 0.500]]
}

{
  "formula": "KC2",
  "functional": "GGA-PBEsol",
  "state": "optimized geometry",
  "relative_energy_mev_per_atom": 871,
  "magnetic_moment_mub_per_fu": 0.000,
  "dos_at_fermi_per_ev_cell": 1.78,
  "formation_enthalpy_0k_mev_per_atom": 1341,
  "dft_energy_ev_per_cell": -32.80,
  "crystal_system": "tetragonal",
  "spacegroup": "I4_1/amd",
  "lattice_angstrom": [[-1.292, -0.892, 3.824], [1.688, -3.761, -0.307], [4.825, 4.404, 0.423]],
  "species": ["K", "K", "C", "C", "C", "C"],
  "frac_coords": [[0.250, 0.750, 0.500], [0.000, 0.000, 0.000], [0.804, 0.304, 0.609], [0.446, 0.446, 0.891], [0.696, 0.196, 0.391], [0.554, 0.554, 0.109]]
}

{
  "formula": "Co2TcMoPd",
  "functional": "GGA-PBEsol",
  "state": "optimized geometry",
  "magnetic_moment_mub_per_fu": 1.774,
  "dos_at_fermi_per_ev_cell": 8.84,
  "formation_enthalpy_0k_mev_per_atom": 1549,
  "dft_energy_ev_per_cell": -36.72,
  "crystal_system": "tetragonal",
  "spacegroup": "P4/mmm",
  "lattice_angstrom": [[4.316, 0.000, 0.000], [0.000, 4.316, 0.000], [0.000, 0.000, 4.499]],
  "species": ["Mo", "Co", "Co", "Tc", "Pd"],
  "frac_coords": [[0.000, 0.000, 0.500], [0.000, 0.500, 0.000], [0.500, 0.000, 0.000], [0.000, 0.000, 0.000], [0.500, 0.500, 0.500]]
}